{"formula": "Nd4Ho3Tm2", "functional": "GGA-PBE", "state": "relaxed", "formation_enthalpy_0k_mev_per_atom": 60, "relative_energy_ev_per_atom": 0.000, "spacegroup": "P3m1, No. 156", "final_energy_ev_per_atom": -4.578, "magnetic_moment_mub_per_cell": 0.07, "cell": [[-0.2574, 3.2990, -1.4237], [-2.9061, -2.1223, 0.1649], [-5.8590, 9.8859, 23.9673]], "species": ["Ho", "Ho", "Ho", "Nd", "Nd", "Nd", "Nd", "Tm", "Tm"], "fractional_positions": [[0.6667, 0.3333, 0.6568], [0.0000, 0.0000, 0.3208], [0.0000, 0.0000, 0.9803], [0.6667, 0.3333, 0.4312], [0.0000, 0.0000, 0.5478], [0.6667, 0.3333, 0.2137], [0.0000, 0.0000, 0.7673], [0.6667, 0.3333, 0.0831], [0.6667, 0.3333, 0.8762]]}